Entry 1:
## Ca3V (GGA-PBE)

Data for a relaxed Ca3V crystal.

The structure in CIF format:
```
data_Ca3V
_cell_length_a 5.095
_cell_length_b 5.095
_cell_length_c 10.125
_cell_angle_alpha 90.00
_cell_angle_beta 90.00
_cell_angle_gamma 90.00
_symmetry_space_group_name_H-M 'I 4/m m m'
_symmetry_Int_Tables_number 139
_symmetry_space_group_name_Hall '-I 4 2'
loop_
_atom_site_label
_atom_site_type_symbol
_atom_site_fract_x
_atom_site_fract_y
_atom_site_fract_z
_atom_site_occupancy
Ca1 Ca 0.000 0.000 0.000 1
Ca2 Ca 0.000 0.500 0.250 1
V1 V 0.000 0.000 0.500 1
```

ΔH_f (0 K), meV/atom: 478
Calculated volume, Å³/cell: 262.8
Total moment, μB per formula unit: 4.21

***

Entry 2:
## CaV4 (GGA-PBE)

Data for a relaxed CaV4 crystal.

The structure in CIF format:
```
data_CaV4
_cell_length_a 4.420
_cell_length_b 4.420
_cell_length_c 4.420
_cell_angle_alpha 90.00
_cell_angle_beta 90.00
_cell_angle_gamma 90.00
_symmetry_space_group_name_H-M 'P m -3 m'
_symmetry_Int_Tables_number 221
_symmetry_space_group_name_Hall '-P 4 2 3'
loop_
_atom_site_label
_atom_site_type_symbol
_atom_site_fract_x
_atom_site_fract_y
_atom_site_fract_z
_atom_site_occupancy
Ca1 Ca 0.000 0.000 0.000 1
V1 V 0.000 0.000 0.500 1
V2 V 0.500 0.500 0.500 1
```

ΔH_f (0 K), meV/atom: 2231
Calculated volume, Å³/cell: 86.4
Total moment, μB per formula unit: 0.20

***

Entry 3:
## CaV (GGA-PBE)

Data for a relaxed CaV crystal.

The structure in CIF format:
```
data_CaV
_cell_length_a 11.417
_cell_length_b 11.417
_cell_length_c 3.147
_cell_angle_alpha 90.00
_cell_angle_beta 90.00
_cell_angle_gamma 90.00
_symmetry_space_group_name_H-M 'I 4/m'
_symmetry_Int_Tables_number 87
_symmetry_space_group_name_Hall '-I 4'
loop_
_atom_site_label
_atom_site_type_symbol
_atom_site_fract_x
_atom_site_fract_y
_atom_site_fract_z
_atom_site_occupancy
Ca1 Ca 0.117 0.817 0.000 1
V1 V 0.058 0.397 0.000 1
```

ΔH_f (0 K), meV/atom: 510
Calculated volume, Å³/cell: 410.3
Total moment, μB per formula unit: 0.00